First-principles (GGA-PBEsol) data for crystalline FeMoP at its relaxed geometry, as listed in the Alexandria database.

For the energy of formation from the pure elements, the calculation gives -0.711 eV/atom. Its uncorrected energy is -28.7 eV/f.u.

It has space group Pnma (No. 62), with a = 5.834 Å, b = 3.633 Å, c = 6.652 Å, α = 90.00°, β = 90.00° and γ = 90.00°. The inequivalent atoms are Fe at (0.140, 0.250, 0.062), Mo at (0.027, 0.250, 0.673) and P at (0.230, 0.750, 0.879).